CrIN2, relaxed, DFT GGA-PBE; crystal system = trigonal; SG = R-3m, No. 166; formation energy (no corrections) = 1.73 eV per atom; V = 59.6 Å³/cell; energy relative to the lowest polymorph listed for this composition = 31.96 kcal/mol of atoms
1.0
-2.6781 6.4668 1.2927
-0.0661 6.4175 3.0779
0.1353 7.1165 -0.0015
N I Cr
2 1 1
Direct
0.9150 0.9150 0.9150
0.0850 0.0850 0.0850
0.5000 0.5000 0.5000
0.0000 0.0000 0.0000